Crystalline CsCoCu2F8 at its relaxed geometry. Source: Alexandria, functional PBE+U.

Output
E: -4.187 eV/atom
Crystal system: trigonal
Spin magnetization: 2.0 μB/f.u.
Calculated density: 4.18 g cm⁻³

Cell lengths 8.329, 8.329, 8.329 Å; angles 36.97, 36.97, 36.97 degrees
Atoms (fractional coordinates):
Cs1 0.000 0.000 0.000
Co1 0.500 0.500 0.500
Cu1 0.218 0.218 0.218
Cu2 0.782 0.782 0.782
F1 0.179 0.768 0.421
F2 0.232 0.579 0.821
F3 0.296 0.296 0.296
F4 0.421 0.179 0.768
F5 0.579 0.821 0.232
F6 0.704 0.704 0.704
F7 0.768 0.421 0.179
F8 0.821 0.232 0.579